No. 1
Below is a relaxed RbSbPb2 crystal, with properties calculated at the PBE level.

Calculated values
Its symmetry is Pmmn (59). The value obtained for the formation energy from raw total energies is -0.135 eV/atom.

Lattice parameters (Å, degrees): 6.041 6.797 7.664 90.00 90.00 90.00
Sites, in units of the cell vectors:
Rb (0.250, 0.250, 0.089)
Rb (0.750, 0.750, 0.911)
Sb (0.250, 0.750, 0.289)
Sb (0.750, 0.250, 0.711)
Pb (0.250, 0.007, 0.616)
Pb (0.250, 0.493, 0.616)
Pb (0.750, 0.507, 0.384)
Pb (0.750, 0.993, 0.384)


No. 2
Below is a relaxed UNbN crystal, with properties calculated at the PBE level.

Calculated values
Its symmetry is P3m1 (156). As for the energy above the most stable polymorph in this dataset: 0.000 eV per formula unit. The value obtained for the formation energy from raw total energies is -0.618 eV/atom.

Lattice parameters (Å, degrees): 3.078 3.078 5.674 90.00 90.00 120.00
Sites, in units of the cell vectors:
U (0.000, 0.000, 0.000)
Nb (0.667, 0.333, 0.504)
N (0.333, 0.667, 0.285)


No. 3
Below is a relaxed LiCa2Tl4 crystal, with properties calculated at the PBE level.

Calculated values
The value obtained for the calculated formation energy is -0.22 eV per atom. Its symmetry is I4/mmm (139). As for the energy above the most stable polymorph in this dataset: 0.000 eV per formula unit.

Lattice parameters (Å, degrees): 8.411 8.411 8.411 145.00 145.00 50.33
Sites, in units of the cell vectors:
Li (0.000, 0.000, 0.000)
Ca (0.247, 0.247, 0.000)
Ca (0.753, 0.753, 0.000)
Tl (0.102, 0.602, 0.500)
Tl (0.398, 0.898, 0.500)
Tl (0.602, 0.102, 0.500)
Tl (0.898, 0.398, 0.500)


No. 4
Below is a relaxed NdSn2Bi2 crystal, with properties calculated at the PBE level.

Calculated values
The value obtained for the calculated formation energy is -0.35 eV per atom. Its symmetry is Cmcm (63).

Lattice parameters (Å, degrees): 13.781 13.781 4.756 90.00 90.00 160.74
Sites, in units of the cell vectors:
Nd (0.152, 0.848, 0.750)
Nd (0.848, 0.152, 0.250)
Sn (0.049, 0.951, 0.250)
Sn (0.454, 0.546, 0.250)
Sn (0.546, 0.454, 0.750)
Sn (0.951, 0.049, 0.750)
Bi (0.249, 0.751, 0.250)
Bi (0.360, 0.640, 0.750)
Bi (0.640, 0.360, 0.250)
Bi (0.751, 0.249, 0.750)


Number 1: E_tot -26.1 eV for the cell shown. Number 2: E_tot -31.5 eV for the cell shown. Number 3: E_tot -16.9 eV for the cell shown. Number 4: E_tot -44.6 eV for the cell shown.